Entry 1:
# Pm3RhBr GGA-PBE optimized geometry
data_Pm3RhBr
_chemical_formula_sum 'Pm6 Rh2 Br2'
_cell_length_a 3.873
_cell_length_b 9.752
_cell_length_c 8.039
_cell_angle_alpha 90.00
_cell_angle_beta 90.00
_cell_angle_gamma 90.00
_symmetry_space_group_name_H-M 'P m m n'
_symmetry_Int_Tables_number 59
loop_
_symmetry_equiv_pos_as_xyz
'x,y,z'
'-x,-y,-z'
'-x+1/2,-y+1/2,z'
'x+1/2,y+1/2,-z'
'x+1/2,-y,-z'
'-x+1/2,y,z'
'-x,y+1/2,-z'
'x,-y+1/2,z'
loop_
_atom_site_label
_atom_site_type_symbol
_atom_site_fract_x
_atom_site_fract_y
_atom_site_fract_z
Pm1 Pm 0.250 0.070 0.165
Pm2 Pm 0.250 0.250 0.741
Rh1 Rh 0.250 0.750 0.020
Br1 Br 0.250 0.750 0.574
# * total magnetization: 0.000 Bohr magnetons per cell
# * theoretical density: 6.76 Mg/m³
# * E_form (uncorrected): -0.706 eV per atom
# * raw total energy: -5.361 eV per atom

---

Entry 2:
# PmRhBr GGA-PBE optimized geometry
data_PmRhBr
_chemical_formula_sum 'Pm4 Rh4 Br4'
_cell_length_a 6.414
_cell_length_b 6.415
_cell_length_c 7.685
_cell_angle_alpha 90.00
_cell_angle_beta 90.07
_cell_angle_gamma 90.00
_symmetry_space_group_name_H-M 'C 1 2/m 1'
_symmetry_Int_Tables_number 12
_symmetry_space_group_name_Hall '-C 2y'
loop_
_atom_site_label
_atom_site_type_symbol
_atom_site_fract_x
_atom_site_fract_y
_atom_site_fract_z
Pm1 Pm 0.249 0.000 0.230
Rh1 Rh 0.000 0.251 0.000
Br1 Br 0.000 0.250 0.500
# * total magnetization: 0.000 Bohr magnetons per cell
# * theoretical density: 6.89 Mg/m³
# * E_form (uncorrected): -0.760 eV per atom
# * distance to the lowest polymorph of the same formula: 457 meV per atom
# * raw total energy: -5.352 eV per atom

---

Entry 3:
# Pm8Ru3RhBr4 GGA-PBE optimized geometry
data_Pm8Ru3RhBr4
_chemical_formula_sum 'Pm16 Ru6 Rh2 Br8'
_cell_length_a 14.101
_cell_length_b 8.132
_cell_length_c 9.129
_cell_angle_alpha 90.00
_cell_angle_beta 121.10
_cell_angle_gamma 90.00
_symmetry_space_group_name_H-M 'C 1 2/m 1'
_symmetry_Int_Tables_number 12
_symmetry_space_group_name_Hall '-C 2y'
loop_
_atom_site_label
_atom_site_type_symbol
_atom_site_fract_x
_atom_site_fract_y
_atom_site_fract_z
Pm1 Pm 0.019 0.246 0.304
Pm2 Pm 0.233 0.000 0.698
Pm3 Pm 0.235 0.500 0.696
Ru1 Ru 0.000 0.000 0.500
Ru2 Ru 0.250 0.250 0.500
Rh1 Rh 0.000 0.500 0.500
Br1 Br 0.000 0.000 0.000
Br2 Br 0.000 0.500 0.000
Br3 Br 0.250 0.250 0.000
# * total magnetization: 0.000 Bohr magnetons per cell
# * theoretical density: 6.99 Mg/m³
# * E_form (uncorrected): -0.849 eV per atom
# * raw total energy: -5.841 eV per atom

---

Entry 4:
# Pm8RuRh3Br4 GGA-PBE optimized geometry
data_Pm8RuRh3Br4
_chemical_formula_sum 'Pm24 Ru3 Rh9 Br12'
_cell_length_a 8.1540
_cell_length_b 8.1540
_cell_length_c 23.4623
_cell_angle_alpha 90.00
_cell_angle_beta 90.00
_cell_angle_gamma 120.00
_symmetry_space_group_name_H-M 'R -3 m'
_symmetry_Int_Tables_number 166
_symmetry_space_group_name_Hall '-R 3 2"'
loop_
_atom_site_label
_atom_site_type_symbol
_atom_site_fract_x
_atom_site_fract_y
_atom_site_fract_z
Pm1 Pm 0.0000 0.0000 0.2314
Pm2 Pm 0.0047 0.5023 0.2323
Ru1 Ru 0.0000 0.0000 0.5000
Rh1 Rh 0.0000 0.5000 0.5000
Br1 Br 0.0000 0.0000 0.0000
Br2 Br 0.0000 0.5000 0.0000
# * total magnetization: 0.000 Bohr magnetons per cell
# * theoretical density: 6.97 Mg/m³
# * E_form (uncorrected): -1.012 eV per atom
# * raw total energy: -5.763 eV per atom